Entry 1:
Material: CuTeN2
Method: DFT, SCAN
State: PBEsol geometry

Lattice parameters (Å, degrees): 3.1231 3.1231 18.1441 90.00 90.00 120.00
Space group R-3m (No. 166, hexagonal axes)
Inequivalent atoms, fractional coordinates:
Cu 0.0000 0.0000 0.0000 x3
Te 0.0000 0.0000 0.5000 x3
N 0.0000 0.0000 0.3834 x6

formation energy without anion corrections	4.11	eV per formula unit


Entry 2:
Material: CuTeWN2
Method: DFT, SCAN
State: PBEsol geometry

Lattice parameters (Å, degrees): 3.845 3.845 5.008 90.00 90.00 90.00
Space group P4/mmm (No. 123)
Inequivalent atoms, fractional coordinates:
Cu 0.000 0.000 0.000 x1
Te 0.000 0.000 0.500 x1
W 0.500 0.500 0.500 x1
N 0.000 0.500 0.000 x2

formation energy without anion corrections	9.94	eV per formula unit


Entry 3:
Material: ZnCuTe2N
Method: DFT, SCAN
State: PBEsol geometry

Lattice parameters (Å, degrees): 5.323 5.323 3.457 90.00 90.00 90.00
Space group P4/mmm (No. 123)
Inequivalent atoms, fractional coordinates:
Zn 0.000 0.000 0.000 x1
Cu 0.500 0.500 0.500 x1
Te 0.000 0.500 0.500 x2
N 0.500 0.500 0.000 x1

formation energy without anion corrections	3.66	eV per formula unit


Entry 4:
Material: TiCu2N3
Method: DFT, SCAN
State: PBEsol geometry

Lattice parameters (Å, degrees): 4.054 4.054 3.992 90.00 90.00 90.00
Space group P4/mmm (No. 123)
Inequivalent atoms, fractional coordinates:
Ti 0.000 0.000 0.000 x1
Cu 0.000 0.500 0.500 x2
N 0.000 0.000 0.500 x1
N 0.000 0.500 0.000 x2

formation energy without anion corrections	-0.19	eV per formula unit


Entry 5:
Material: TiCu3N
Method: DFT, SCAN
State: PBEsol geometry

Lattice parameters (Å, degrees): 4.579 4.579 4.579 90.00 90.00 90.00
Space group Pm-3m (No. 221)
Inequivalent atoms, fractional coordinates:
Ti 0.000 0.000 0.000 x1
Cu 0.000 0.000 0.500 x3
N 0.500 0.500 0.500 x1

formation energy without anion corrections	11.58	eV per formula unit


Entry 6:
Material: TlCu3N
Method: DFT, SCAN
State: PBEsol geometry

Lattice parameters (Å, degrees): 4.024 4.024 4.024 90.00 90.00 90.00
Space group Pm-3m (No. 221)
Inequivalent atoms, fractional coordinates:
Tl 0.000 0.000 0.000 x1
Cu 0.000 0.500 0.500 x3
N 0.500 0.500 0.500 x1

formation energy without anion corrections	1.77	eV per formula unit


Entry 7:
Material: CuWN2
Method: DFT, SCAN
State: PBEsol geometry

Lattice parameters (Å, degrees): 5.232 5.232 5.232 90.00 90.00 90.00
Space group Fm-3m (No. 225)
Inequivalent atoms, fractional coordinates:
Cu 0.000 0.000 0.000 x4
W 0.000 0.000 0.500 x4
N 0.250 0.250 0.250 x8

formation energy without anion corrections	3.33	eV per formula unit


Entry 8:
Material: YCu3N
Method: DFT, SCAN
State: PBEsol geometry

Lattice parameters (Å, degrees): 5.197 5.197 5.197 90.00 90.00 90.00
Space group Pm-3m (No. 221)
Inequivalent atoms, fractional coordinates:
Y 0.000 0.000 0.000 x1
Cu 0.000 0.000 0.500 x3
N 0.500 0.500 0.500 x1

formation energy without anion corrections	11.15	eV per formula unit


Entry 9:
Material: ZnCuN3
Method: DFT, SCAN
State: PBEsol geometry

Lattice parameters (Å, degrees): 3.811 3.811 3.811 90.00 90.00 90.00
Space group Pm-3m (No. 221)
Inequivalent atoms, fractional coordinates:
Zn 0.000 0.000 0.000 x1
Cu 0.500 0.500 0.500 x1
N 0.000 0.000 0.500 x3

formation energy without anion corrections	10.73	eV per formula unit


Entry 10:
Material: ZrCuN2
Method: DFT, SCAN
State: PBEsol geometry

Lattice parameters (Å, degrees): 3.1196 3.1196 17.7798 90.00 90.00 120.00
Space group R-3m (No. 166, hexagonal axes)
Inequivalent atoms, fractional coordinates:
Zr 0.0000 0.0000 0.0000 x3
Cu 0.0000 0.0000 0.5000 x3
N 0.0000 0.0000 0.1163 x6

formation energy without anion corrections	2.50	eV per formula unit


Entry 11:
Material: NaTi3NbCu3O12
Method: DFT, SCAN
State: PBEsol geometry

Lattice parameters (Å, degrees): 10.4959 10.4959 6.4024 90.00 90.00 120.00
Space group R-3 (No. 148, hexagonal axes)
Inequivalent atoms, fractional coordinates:
Na 0.0000 0.0000 0.0000 x3
Ti 0.0000 0.5000 0.5000 x9
Nb 0.0000 0.0000 0.5000 x3
Cu 0.0000 0.5000 0.0000 x9
O 0.0155 0.1631 0.6785 x18
O 0.0431 0.2651 0.0859 x18

formation energy without anion corrections	-47.53	eV per formula unit


Entry 12:
Material: NaNbCu2S
Method: DFT, SCAN
State: PBEsol geometry

Lattice parameters (Å, degrees): 4.360 4.360 4.736 90.00 90.00 90.00
Space group P4/mmm (No. 123)
Inequivalent atoms, fractional coordinates:
Na 0.000 0.000 0.000 x1
Nb 0.500 0.500 0.000 x1
Cu 0.000 0.500 0.500 x2
S 0.000 0.000 0.500 x1

formation energy without anion corrections	3.78	eV per formula unit


Entry 13:
Material: Na3CuNi
Method: DFT, SCAN
State: PBEsol geometry

Lattice parameters (Å, degrees): 5.153 5.153 5.153 90.00 90.00 90.00
Space group Pm-3m (No. 221)
Inequivalent atoms, fractional coordinates:
Na 0.000 0.000 0.500 x3
Cu 0.500 0.500 0.500 x1
Ni 0.000 0.000 0.000 x1

formation energy from the elements	20.13	kcal/mol of atoms


Entry 14:
Material: NaCu2NiOs
Method: DFT, SCAN
State: PBEsol geometry

Lattice parameters (Å, degrees): 4.103 4.103 4.673 90.00 90.00 90.00
Space group P4/mmm (No. 123)
Inequivalent atoms, fractional coordinates:
Na 0.000 0.000 0.000 x1
Cu 0.000 0.500 0.000 x2
Ni 0.500 0.500 0.500 x1
Os 0.000 0.000 0.500 x1

formation energy from the elements	51.57	kcal/mol of atoms


Entry 15:
Material: NaCuNi2Sb
Method: DFT, SCAN
State: PBEsol geometry

Lattice parameters (Å, degrees): 4.510 4.510 4.625 90.00 90.00 90.00
Space group P4/mmm (No. 123)
Inequivalent atoms, fractional coordinates:
Na 0.000 0.000 0.000 x1
Cu 0.500 0.500 0.500 x1
Ni 0.000 0.500 0.500 x2
Sb 0.500 0.500 0.000 x1

formation energy without anion corrections	2.96	eV per formula unit


Entry 16:
Material: NaCu3O4
Method: DFT, SCAN
State: PBEsol geometry

Lattice parameters (Å, degrees): 5.383 10.682 3.300 90.00 90.00 90.00
Space group Cmmm (No. 65)
Inequivalent atoms, fractional coordinates:
Na 0.000 0.000 0.000 x2
Cu 0.000 0.242 0.500 x4
Cu 0.000 0.500 0.500 x2
O 0.237 0.370 0.500 x8

formation energy without anion corrections	-7.20	eV per formula unit
energy above the lowest structure with this stoichiometry	55.9	meV/atom


Entry 17:
Material: NaCu3O4
Method: DFT, SCAN
State: PBEsol geometry

Lattice parameters (Å, degrees): 5.956 5.956 8.710 90.00 90.00 90.00
Space group P4_122 (No. 91)
Inequivalent atoms, fractional coordinates:
Na 0.000 0.255 0.000 x4
Cu 0.000 0.249 0.500 x4
Cu 0.247 0.500 0.250 x4
Cu 0.256 0.500 0.750 x4
O 0.022 0.271 0.273 x8
O 0.272 0.471 0.533 x8

formation energy without anion corrections	-7.48	eV per formula unit
energy above the lowest structure with this stoichiometry	21.7	meV/atom


Entry 18:
Material: Na2Cu3O4
Method: DFT, SCAN
State: PBEsol geometry

Lattice parameters (Å, degrees): 2.926 5.297 12.674 90.00 90.00 90.00
Space group Immm (No. 71)
Inequivalent atoms, fractional coordinates:
Na 0.000 0.000 0.203 x4
Cu 0.000 0.500 0.102 x4
Cu 0.000 0.500 0.500 x2
O 0.000 0.239 0.389 x8

formation energy without anion corrections	-9.56	eV per formula unit


Entry 19:
Material: Na3Cu5O4
Method: DFT, SCAN
State: PBEsol geometry

Lattice parameters (Å, degrees): 8.560 6.720 12.871 90.00 107.53 90.00
Space group P2_1/c (No. 14)
Inequivalent atoms, fractional coordinates:
Na 0.093 0.148 0.087 x4
Na 0.262 0.735 0.577 x4
Na 0.343 0.073 0.900 x4
Cu 0.051 0.070 0.405 x4
Cu 0.069 0.677 0.746 x4
Cu 0.314 0.531 0.890 x4
Cu 0.413 0.154 0.595 x4
Cu 0.438 0.084 0.235 x4
O 0.011 0.672 0.600 x4
O 0.135 0.683 0.896 x4
O 0.372 0.079 0.087 x4
O 0.500 0.104 0.384 x4

formation energy without anion corrections	-11.08	eV per formula unit


Entry 20:
Material: Na4CuO3
Method: DFT, SCAN
State: PBEsol geometry

Lattice parameters (Å, degrees): 11.116 5.655 8.062 90.00 114.26 90.00
Space group Cc (No. 9)
Inequivalent atoms, fractional coordinates:
Na 0.000 0.149 0.000 x4
Na 0.096 0.348 0.686 x4
Na 0.197 0.215 0.410 x4
Na 0.276 0.326 0.093 x4
Cu 0.369 0.142 0.810 x4
O 0.032 0.495 0.394 x4
O 0.200 0.010 0.669 x4
O 0.316 0.447 0.848 x4

formation energy without anion corrections	-10.26	eV per formula unit


| no. | total magnetization (μB per formula unit) | uncorrected energy (eV/cell) |
| --- | --- | --- |
| 1 | 0.000 | -200.76 |
| 2 | 0.267 | -130.78 |
| 3 | 1.046 | -108.84 |
| 4 | 0.003 | -74.49 |
| 5 | 3.689 | -59.34 |
| 6 | 0.000 | -125.47 |
| 7 | 0.000 | -400.54 |
| 8 | 3.057 | -71.58 |
| 9 | 4.668 | -45.86 |
| 10 | 0.000 | -185.95 |
| 11 | 2.999 | -760.02 |
| 12 | 3.569 | -73.59 |
| 13 | 0.110 | -39.65 |
| 14 | 2.496 | -111.48 |
| 15 | 1.962 | -86.06 |
| 16 | 0.000 | -163.88 |
| 17 | 0.207 | -328.86 |
| 18 | 0.998 | -177.02 |
| 19 | 0.000 | -498.60 |
| 20 | 1.063 | -244.07 |